# 1
## SrTiCuB2 (GGA-PBE)

Data for SrTiCuB2 after structural relaxation.

## Properties
DFT total energy, eV/atom: -3.912
D(E_F), states/eV per atom: 0.99
Volume, Å³/cell: 105.0
Total magnetic moment, μB per cell: 1.02

a b c (Å): 4.3093 4.3093 5.6549
angles (deg): 90.00 90.00 90.00
Element x y z (fractional)
Sr 0.0000 0.0000 0.0000
Ti 0.0000 0.0000 0.5000
Cu 0.5000 0.5000 0.0000
B 0.0000 0.5000 0.5000
B 0.5000 0.0000 0.5000

# 2
## Ba2NaAs2 (GGA-PBE)

Data for Ba2NaAs2 after structural relaxation.

## Properties
D(E_F), states/eV per atom: 0.98
Volume, Å³/cell: 188.3
Total magnetic moment, μB per cell: 0.00
E above lowest polymorph, eV/atom: 0.231

a b c (Å): 6.4279 6.4279 6.4279
angles (deg): 119.83 119.83 90.30
Element x y z (fractional)
Ba 0.2500 0.7500 0.5000
Ba 0.7500 0.2500 0.5000
Na 0.0000 0.0000 0.0000
As 0.3502 0.3502 0.0000
As 0.6498 0.6498 0.0000

# 3
## Pa3Si8Rh3 (GGA-PBE)

Data for Pa3Si8Rh3 after structural relaxation.

## Properties
D(E_F), states/eV per atom: 0.85
Formation energy without anion corrections, eV/f.u.: -7.746
Volume, Å³/cell: 229.8
Total magnetic moment, μB per cell: 0.00

a b c (Å): 7.7498 7.7498 7.7498
angles (deg): 148.53 104.22 84.34
Element x y z (fractional)
Pa 0.0000 0.0000 0.0000
Pa 0.2986 0.2986 0.0000
Pa 0.7014 0.7014 0.0000
Si 0.0305 0.6607 0.3698
Si 0.1536 0.8717 0.2819
Si 0.2909 0.6607 0.6302
Si 0.4103 0.1283 0.2819
Si 0.5897 0.8717 0.7181
Si 0.7091 0.3393 0.3698
Si 0.8464 0.1283 0.7181
Si 0.9695 0.3393 0.6302
Rh 0.2895 0.5000 0.7895
Rh 0.5000 0.0000 0.5000
Rh 0.7105 0.5000 0.2105

# 4
## NdErRh (GGA-PBE)

Data for NdErRh after structural relaxation.

## Properties
D(E_F), states/eV per atom: 1.25
Volume, Å³/cell: 77.6
Total magnetic moment, μB per cell: 0.00
E above lowest polymorph, eV/atom: 0.035

a b c (Å): 6.8263 6.8263 6.8263
angles (deg): 150.37 150.37 42.40
Element x y z (fractional)
Nd 0.0000 0.0000 0.0000
Er 0.2619 0.2619 0.0000
Rh 0.6440 0.6440 0.0000

# 5
## La3ZnIn (GGA-PBE)

Data for La3ZnIn after structural relaxation.

## Properties
D(E_F), states/eV per atom: 1.09
Volume, Å³/cell: 305.2
Total magnetic moment, μB per cell: 0.00
E above lowest polymorph, eV/atom: 0.000

a b c (Å): 10.3223 10.3223 5.5316
angles (deg): 90.00 90.00 148.81
Element x y z (fractional)
La 0.0574 0.9426 0.7500
La 0.2473 0.7527 0.7500
La 0.4336 0.5664 0.7500
La 0.5664 0.4336 0.2500
La 0.7527 0.2473 0.2500
La 0.9426 0.0574 0.2500
Zn 0.3502 0.6498 0.2500
Zn 0.6498 0.3502 0.7500
In 0.1534 0.8466 0.2500
In 0.8466 0.1534 0.7500

# 6
## Be2NbS (GGA-PBE)

Data for Be2NbS after structural relaxation.

## Properties
D(E_F), states/eV per atom: 0.43
Formation energy without anion corrections, eV/f.u.: 0.300
Volume, Å³/cell: 102.4
Total magnetic moment, μB per cell: 0.00

a b c (Å): 5.1742 5.1742 5.1742
angles (deg): 103.38 103.38 122.50
Element x y z (fractional)
Be 0.0677 0.6250 0.9427
Be 0.3750 0.3177 0.4427
Be 0.6823 0.1250 0.0573
Be 0.8750 0.9323 0.5573
Nb 0.2500 0.7500 0.5000
Nb 0.5000 0.5000 0.0000
S 0.0000 0.0000 0.0000
S 0.7500 0.2500 0.5000

Q: Which formula does entry 5 have?
A: La3ZnIn

Copy entry 2 word for word.
## Ba2NaAs2 (GGA-PBE)

Data for Ba2NaAs2 after structural relaxation.

## Properties
D(E_F), states/eV per atom: 0.98
Volume, Å³/cell: 188.3
Total magnetic moment, μB per cell: 0.00
E above lowest polymorph, eV/atom: 0.231

a b c (Å): 6.4279 6.4279 6.4279
angles (deg): 119.83 119.83 90.30
Element x y z (fractional)
Ba 0.2500 0.7500 0.5000
Ba 0.7500 0.2500 0.5000
Na 0.0000 0.0000 0.0000
As 0.3502 0.3502 0.0000
As 0.6498 0.6498 0.0000

Q: Among the records above, which one has the highest total magnetic moment?
A: SrTiCuB2